Record 1
A plane-wave DFT calculation with PBE was carried out for crystalline LaBiIO2 at its relaxed geometry.

Calculated values
For the total energy, the calculation gives -25.82 eV per cell. As for the density of states at the Fermi level: 4.615 states/eV per cell. As for the magnetic moment: 1.84 μB per cell. The volume is 28.771 Å³/atom. The calculation puts the formation energy from raw total energies at -1.1096 eV/atom.

Cell: 4.5604 4.5604 6.9170 Å, 90.00 90.00 90.00°
Space group P4/mmm (No. 123)
One atom of each set of equivalent atoms:
1 La 0.0000 0.0000 0.0000
2 Bi 0.5000 0.5000 0.5000
3 I 0.0000 0.0000 0.5000
4 O 0.0000 0.5000 0.0000


Record 2
A plane-wave DFT calculation with PBE was carried out for crystalline CsTlIn2Pb at its relaxed geometry.

Calculated values
For the total energy, the calculation gives -25.60 eV per cell. As for the density of states at the Fermi level: 4.796 states/eV per cell. As for the magnetic moment: 0.00 μB per cell. The volume is 39.526 Å³/atom. The formation energy comes out at -0.079 eV per atom.

Cell: 8.5940 5.0135 9.2277 Å, 90.00 96.20 90.00°
Space group P2_1/m (No. 11)
One atom of each set of equivalent atoms:
1 Cs 0.2266 0.2500 0.3532
2 Tl 0.3307 0.7500 0.7023
3 In 0.1139 0.2500 0.7793
4 In 0.4693 0.2500 0.9089
5 Pb 0.1570 0.7500 0.0094